The following is a DFT calculation (PBE-GGA) of a relaxed structure of CsCdIn.

Computed properties:
SG = No. 216
crystal system = cubic
raw total energy = -1.278 eV per atom

Unit cell a=5.783 b=5.783 c=5.783 alpha=60.00 beta=60.00 gamma=60.00
Element x y z (fractional)
In  0.750  0.750  0.750
Cd  0.000  0.000  0.000
Cs  0.250  0.250  0.250